DFT (PBE) results for crystalline V2AgP at its relaxed geometry.

a b c (Å): 3.675 3.675 9.496
angles (deg): 78.84 78.84 90.00
Fractional positions:
P 0.500 0.500 0.000
P 0.250 0.750 0.500
Ag 0.000 0.000 0.000
Ag 0.750 0.250 0.500
V 0.591 0.125 0.250
V 0.159 0.625 0.250
V 0.375 0.409 0.750
V 0.875 0.841 0.750

Summary:
total energy: -6.160 eV/atom
space group: I-42d, No. 122
formation energy from the elements: 464 meV/atom
size of the total moment: 0.00 μB per cell
N(E_F): 1.000 states/eV per atom